LiTaAu | Alexandria via LeMat-Bulk | GGA-PBE | optimized geometry; DFT formation energy = 0.050 eV per atom; VASP energy = -5.63 eV/atom; polymorph energy (0 for the lowest one) = 120 meV/atom
1.0
4.510 0.000 0.000
-2.255 3.905 0.000
0.000 0.000 2.742
Li Ta Au
1 1 1
direct
0.667 0.333 0.500 Li
0.333 0.667 0.000 Ta
0.000 0.000 0.500 Au